# 1
A geometry-optimized MgZnTcSeO structure, computed with PBE-GGA.

## Properties
As for the space-group type: P1 (1). For the total energy, the calculation gives -4.994 eV/atom. The calculation puts the density of states at the Fermi level at 3.339 states/eV/cell. As for the raw formation energy: -0.658 eV per atom. The value obtained for the polymorph energy (0 for the lowest one) is 374.0 meV per atom. The value obtained for the total magnetization is 0.0 μB per cell.

abc: 3.3077 5.0713 6.1503
angles: 69.03 74.03 69.80
Last column: nearest neighbours and their distance in Å.
Element x y z (fractional)
Zn  0.7506  0.3684  0.1805  3 Tc 2.65-2.68
Tc  0.4810  0.9335  0.1731  1 O 1.94
O  0.5913  0.0581  0.8299  1 Tc 1.94, 2 Mg 1.95
Se  0.9670  0.6762  0.4665  2 Tc 2.45
Mg  0.1763  0.0666  0.6543  2 O 1.95

---

# 2
A geometry-optimized Ba2PrMg3F12 structure, computed with PBE-GGA.

## Properties
As for the space-group type: R-3m (166). For the total energy, the calculation gives -5.531 eV/atom. The calculation puts the density of states at the Fermi level at 3.119 states/eV/cell. As for the raw formation energy: -3.539 eV per atom. The value obtained for the total magnetization is 0.8 μB per cell.

abc: 7.0816 7.0816 7.0816
angles: 64.71 64.71 64.71
Last column: nearest neighbours and their distance in Å.
Element x y z (fractional)
F  0.2659  0.8965  0.2659  2 Mg 2.01
F  0.2659  0.2659  0.8965  2 Mg 2.01
F  0.1323  0.1323  0.5985  1 Mg 2.03
Mg  0.0000  0.0000  0.5000  6 F 2.01-2.03
Pr  0.0000  0.0000  0.0000  6 F 2.46
F  0.7341  0.1035  0.7341  2 Mg 2.01
F  0.8677  0.4015  0.8677  1 Mg 2.03
Ba  0.3848  0.3848  0.3848  3 F 2.61
F  0.8677  0.8677  0.4015  1 Mg 2.03
Ba  0.6152  0.6152  0.6152  3 F 2.61
F  0.4015  0.8677  0.8677  1 Mg 2.03
F  0.8965  0.2659  0.2659  2 Mg 2.01
F  0.7341  0.7341  0.1035  2 Mg 2.01
Mg  0.5000  0.0000  0.0000  6 F 2.01-2.03
F  0.1035  0.7341  0.7341  2 Mg 2.01
F  0.5985  0.1323  0.1323  1 Mg 2.03
F  0.1323  0.5985  0.1323  1 Mg 2.03
Mg  0.0000  0.5000  0.0000  6 F 2.01-2.03

---

# 3
A geometry-optimized Cu2Ag2Pd3 structure, computed with PBE-GGA.

## Properties
As for the space-group type: C2/m (12). For the total energy, the calculation gives -4.257 eV/atom. The calculation puts the density of states at the Fermi level at 2.657 states/eV/cell. The value obtained for the total magnetization is 0.0 μB per cell.

abc: 4.0404 4.8446 10.1418
angles: 137.24 90.00 114.65
Last column: nearest neighbours and their distance in Å.
Element x y z (fractional)
Pd  0.0000  0.0000  0.0000  2 Cu 2.69, 6 Ag 2.82-2.83, 4 Pd 2.87
Cu  0.2946  0.5891  0.4253  1 Cu 2.56, 6 Pd 2.66-2.82, 3 Ag 2.71-2.75
Ag  0.5495  0.0989  0.8417  3 Cu 2.71-2.75, 7 Pd 2.80-2.87, 2 Ag 2.92
Ag  0.4505  0.9011  0.1583  3 Cu 2.71-2.75, 7 Pd 2.80-2.87, 2 Ag 2.92
Cu  0.7054  0.4109  0.5747  1 Cu 2.56, 6 Pd 2.66-2.82, 3 Ag 2.71-2.75
Pd  0.8871  0.7742  0.3023  5 Cu 2.66-2.82, 3 Pd 2.67-2.87, 4 Ag 2.80-2.87
Pd  0.1129  0.2258  0.6977  5 Cu 2.66-2.82, 3 Pd 2.67-2.87, 4 Ag 2.80-2.87

---

Q: Look up the density of states at the Fermi level of the third one.
A: 2.657 states/eV/cell